1.
First-principles (GGA-PBE) data for a geometry-optimized BaMg2InAu4 structure, as listed in Alexandria.

Summary:
total moment: 0.00 μB/f.u.
space-group type: R-3m (166)
formation enthalpy at 0 K: -48 kJ/mol of atoms
density of states at the Fermi level: 4.2 states/eV/f.u.

abc: 4.657 4.657 10.458
angles: 77.14 77.14 60.00
Sites, in units of the cell vectors:
Mg: 0.234 0.234 0.299
Mg: 0.766 0.766 0.701
Au: 0.404 0.404 0.789
Au: 0.596 0.596 0.211
Au: 0.125 0.125 0.624
Au: 0.875 0.875 0.376
In: 0.500 0.500 0.500
Ba: 0.000 0.000 0.000


2.
First-principles (GGA-PBE) data for a geometry-optimized Be2CuAu structure, as listed in Alexandria.

Summary:
total moment: 0.00 μB/f.u.
space-group type: P4mm (99)
formation enthalpy at 0 K: -6 kJ/mol of atoms
density of states at the Fermi level: 0.4 states/eV/f.u.

abc: 2.882 2.883 5.595
angles: 90.00 90.00 90.00
Sites, in units of the cell vectors:
Au: 0.500 0.500 0.787
Be: 0.000 0.000 0.031
Be: 0.500 0.500 0.242
Cu: 0.000 0.000 0.440


3.
First-principles (GGA-PBE) data for a geometry-optimized Ti6H2N3O structure, as listed in Alexandria.

Summary:
total moment: 0.00 μB/f.u.
space-group type: C2/m (12)
total DFT energy (no corrections): -101.6 eV for the cell shown
density of states at the Fermi level: 7.0 states/eV/f.u.

abc: 5.237 5.237 5.145
angles: 100.12 100.12 119.90
Sites, in units of the cell vectors:
N: 0.500 0.500 0.500
N: 0.165 0.835 0.500
N: 0.835 0.165 0.500
Ti: 0.754 0.754 0.258
Ti: 0.246 0.246 0.742
Ti: 0.086 0.415 0.264
Ti: 0.585 0.914 0.736
Ti: 0.914 0.585 0.736
Ti: 0.415 0.086 0.264
H: 0.333 0.667 0.000
H: 0.667 0.333 0.000
O: 0.000 0.000 0.000


4.
First-principles (GGA-PBE) data for a geometry-optimized ErTm5ThSc2 structure, as listed in Alexandria.

Summary:
total moment: 0.00 μB/f.u.
space-group type: Cmc2_1 (36)
formation enthalpy at 0 K: 17 kJ/mol of atoms
density of states at the Fermi level: 11.4 states/eV/f.u.

abc: 5.551 10.865 9.301
angles: 90.00 90.00 104.80
Sites, in units of the cell vectors:
Th: 0.814 0.629 0.522
Th: 0.186 0.371 0.022
Er: 0.403 0.806 0.421
Er: 0.597 0.194 0.921
Sc: 0.137 0.273 0.704
Sc: 0.863 0.727 0.204
Sc: 0.888 0.775 0.820
Sc: 0.112 0.225 0.320
Tm: 0.610 0.220 0.543
Tm: 0.390 0.780 0.043
Tm: 0.694 0.387 0.216
Tm: 0.306 0.613 0.716
Tm: 0.264 0.529 0.337
Tm: 0.470 0.939 0.746
Tm: 0.736 0.471 0.837
Tm: 0.010 0.019 0.015
Tm: 0.990 0.981 0.515
Tm: 0.530 0.061 0.246


5.
First-principles (GGA-PBE) data for a geometry-optimized HfPt2Cl structure, as listed in Alexandria.

Summary:
total moment: 0.00 μB/f.u.
space-group type: Fm-3m (225)
polymorph energy (0 for the lowest one): 0.000 eV per atom
density of states at the Fermi level: 4.9 states/eV/f.u.

abc: 4.670 4.670 4.670
angles: 60.00 60.00 60.00
Sites, in units of the cell vectors:
Pt: 0.250 0.250 0.250
Pt: 0.750 0.750 0.750
Cl: 0.000 0.000 0.000
Hf: 0.500 0.500 0.500